# 1
{
  "formula": "K3Li2Nb5O15",
  "functional": "SCAN",
  "state": "PBEsol geometry",
  "lattice_angstrom": [[12.743, 0.000, 0.000], [0.000, 12.743, 0.000], [0.000, 0.000, 4.001]],
  "species": ["K", "K", "K", "K", "K", "K", "Li", "Li", "Li", "Li", "Nb", "Nb", "Nb", "Nb", "Nb", "Nb", "Nb", "Nb", "Nb", "Nb", "O", "O", "O", "O", "O", "O", "O", "O", "O", "O", "O", "O", "O", "O", "O", "O", "O", "O", "O", "O", "O", "O", "O", "O", "O", "O", "O", "O", "O", "O"],
  "frac_coords": [[0.000, 0.000, 0.000], [0.171, 0.329, 0.000], [0.329, 0.829, 0.000], [0.500, 0.500, 0.000], [0.671, 0.171, 0.000], [0.829, 0.671, 0.000], [0.125, 0.625, 0.000], [0.375, 0.125, 0.000], [0.625, 0.875, 0.000], [0.875, 0.375, 0.000], [0.000, 0.500, 0.500], [0.077, 0.793, 0.500], [0.207, 0.077, 0.500], [0.293, 0.577, 0.500], [0.423, 0.293, 0.500], [0.500, 0.000, 0.500], [0.577, 0.707, 0.500], [0.707, 0.423, 0.500], [0.793, 0.923, 0.500], [0.923, 0.207, 0.500], [0.000, 0.500, 0.000], [0.003, 0.655, 0.500], [0.067, 0.141, 0.500], [0.081, 0.785, 0.000], [0.141, 0.933, 0.500], [0.155, 0.503, 0.500], [0.212, 0.712, 0.500], [0.215, 0.081, 0.000], [0.285, 0.581, 0.000], [0.288, 0.212, 0.500], [0.345, 0.003, 0.500], [0.359, 0.433, 0.500], [0.419, 0.285, 0.000], [0.433, 0.641, 0.500], [0.497, 0.155, 0.500], [0.500, 0.000, 0.000], [0.503, 0.845, 0.500], [0.567, 0.359, 0.500], [0.581, 0.715, 0.000], [0.641, 0.567, 0.500], [0.655, 0.997, 0.500], [0.712, 0.788, 0.500], [0.715, 0.419, 0.000], [0.785, 0.919, 0.000], [0.788, 0.288, 0.500], [0.845, 0.497, 0.500], [0.859, 0.067, 0.500], [0.919, 0.215, 0.000], [0.933, 0.859, 0.500], [0.997, 0.345, 0.500]],
  "total_energy_ev_per_cell": -710.0,
  "sg": "P4/mbm (127)",
  "raw_formation_energy_ev_per_atom": -2.64,
  "dos_at_fermi_per_ev_cell": 0.00,
  "e_above_lowest_polymorph_ev_per_fu": 0.40
}

---

# 2
{
  "formula": "Ni2RuF2",
  "functional": "SCAN",
  "state": "PBEsol geometry",
  "lattice_angstrom": [[3.229, 0.000, 0.000], [0.000, 3.229, 0.000], [0.000, 0.000, 10.385]],
  "species": ["Ni", "Ni", "Ni", "Ni", "Ru", "Ru", "F", "F", "F", "F"],
  "frac_coords": [[0.000, 0.000, 0.118], [0.000, 0.000, 0.882], [0.500, 0.500, 0.382], [0.500, 0.500, 0.618], [0.000, 0.000, 0.500], [0.500, 0.500, 0.000], [0.000, 0.500, 0.250], [0.000, 0.500, 0.750], [0.500, 0.000, 0.250], [0.500, 0.000, 0.750]],
  "total_energy_ev_per_cell": -153.4,
  "sg": "I4/mmm (139)",
  "raw_formation_energy_ev_per_atom": -0.49,
  "dos_at_fermi_per_ev_cell": 6.18
}

---

- What is the formula in the second record?
  Ni2RuF2